1.
Density functional theory data (GGA-PBE) for a geometry-optimized Tb5HoTm2Th structure.

Lattice parameters (Å, degrees): 11.124 11.124 9.648 90.00 90.00 150.38
Atoms (fractional coordinates):
Tb  0.014  0.986  0.500
Tb  0.272  0.728  0.196
Tb  0.303  0.697  0.801
Tb  0.399  0.601  0.475
Tb  0.468  0.532  0.774
Tb  0.532  0.468  0.274
Tb  0.601  0.399  0.975
Tb  0.697  0.303  0.301
Tb  0.728  0.272  0.696
Tb  0.986  0.014  0.000
Ho  0.189  0.811  0.500
Ho  0.811  0.189  0.000
Tm  0.116  0.884  0.187
Tm  0.128  0.872  0.805
Tm  0.872  0.128  0.305
Tm  0.884  0.116  0.687
Th  0.405  0.595  0.095
Th  0.595  0.405  0.595

VASP energy = -85.30 eV/cell
Crystal system = orthorhombic
Size of the total moment = 0.0 Bohr magnetons per cell
DFT formation energy = 0.1600 eV/atom

---

2.
Density functional theory data (GGA-PBE) for a geometry-optimized TbHoTm3Th structure.

Lattice parameters (Å, degrees): 7.836 7.836 10.026 90.00 90.00 142.82
Atoms (fractional coordinates):
Tb  0.000  0.000  0.000
Tb  0.000  0.000  0.500
Ho  0.167  0.833  0.750
Ho  0.833  0.167  0.250
Tm  0.166  0.834  0.250
Tm  0.335  0.665  0.000
Tm  0.335  0.665  0.500
Tm  0.665  0.335  0.000
Tm  0.665  0.335  0.500
Tm  0.834  0.166  0.750
Th  0.500  0.500  0.250
Th  0.500  0.500  0.750

VASP energy = -59.63 eV/cell
Crystal system = orthorhombic
Size of the total moment = 0.0 Bohr magnetons per cell
DFT formation energy = 0.0379 eV/atom

---

3.
Density functional theory data (GGA-PBE) for a geometry-optimized TbHoTmTh2 structure.

Lattice parameters (Å, degrees): 8.438 8.438 6.633 90.00 90.00 133.72
Atoms (fractional coordinates):
Tb  0.249  0.751  0.750
Tb  0.751  0.249  0.250
Ho  0.152  0.848  0.250
Ho  0.848  0.152  0.750
Tm  0.349  0.651  0.250
Tm  0.651  0.349  0.750
Th  0.250  0.250  0.000
Th  0.250  0.250  0.500
Th  0.750  0.750  0.000
Th  0.750  0.750  0.500

VASP energy = -52.94 eV/cell
Crystal system = orthorhombic
Size of the total moment = 0.0 Bohr magnetons per cell
DFT formation energy = 0.4102 eV/atom

---

What did the first record say?
Density functional theory data (GGA-PBE) for a geometry-optimized Tb5HoTm2Th structure.

Lattice parameters (Å, degrees): 11.124 11.124 9.648 90.00 90.00 150.38
Atoms (fractional coordinates):
Tb  0.014  0.986  0.500
Tb  0.272  0.728  0.196
Tb  0.303  0.697  0.801
Tb  0.399  0.601  0.475
Tb  0.468  0.532  0.774
Tb  0.532  0.468  0.274
Tb  0.601  0.399  0.975
Tb  0.697  0.303  0.301
Tb  0.728  0.272  0.696
Tb  0.986  0.014  0.000
Ho  0.189  0.811  0.500
Ho  0.811  0.189  0.000
Tm  0.116  0.884  0.187
Tm  0.128  0.872  0.805
Tm  0.872  0.128  0.305
Tm  0.884  0.116  0.687
Th  0.405  0.595  0.095
Th  0.595  0.405  0.595

VASP energy = -85.30 eV/cell
Crystal system = orthorhombic
Size of the total moment = 0.0 Bohr magnetons per cell
DFT formation energy = 0.1600 eV/atom

---

> Which formula does entry 3 have?

TbHoTmTh2